Record 1
Computed, not measured: an optimized crystal structure of NbMoSeO2 at the PBE+U level of DFT.

Cell: 3.895 5.814 3.895 Å, 90.00 90.00 90.00°
Each line ends with the local moment (μB).
Fractional coordinates of all 5 atoms:
O 0.000 0.000 0.500  -0.03
O 0.500 0.000 0.000  -0.17
Mo 0.000 0.000 0.000  2.02
Nb 0.500 0.500 0.500  2.29
Se 0.000 0.500 0.000  -0.07

- Space-group type: P4/mmm (123)
- Magnetic moment: 4.69 Bohr magnetons per cell
- V: 88 Å³/f.u.
- VASP energy: -6.588 eV per atom

=====

Record 2
Computed, not measured: an optimized crystal structure of Zn3Cr3O8 at the PBE+U level of DFT.

Cell: 5.998 5.998 5.998 Å, 60.08 60.08 60.08°
Each line ends with the local moment (μB).
Fractional coordinates of all 14 atoms:
O 0.760 0.760 0.760  -0.05
O 0.783 0.246 0.246  -0.11
O 0.246 0.783 0.246  -0.11
O 0.754 0.754 0.217  -0.11
O 0.240 0.240 0.240  -0.05
O 0.754 0.217 0.754  -0.11
O 0.246 0.246 0.783  -0.11
O 0.217 0.754 0.754  -0.11
Zn 0.623 0.623 0.623  0.00
Zn 0.377 0.377 0.377  0.00
Zn 0.000 0.000 0.000  -0.04
Cr 0.500 0.000 0.000  2.89
Cr 0.000 0.000 0.500  2.89
Cr 0.000 0.500 0.000  2.89

- Space-group type: R-3m (166)
- Magnetic moment: 8.00 Bohr magnetons per cell
- V: 153 Å³/f.u.
- VASP energy: -6.394 eV per atom

=====

| no. | Fermi-level density of states (states/eV per cell) |
| --- | --- |
| 1 | 3.1 |
| 2 | 4.6 |